No. 1
# HfZn

A relaxed HfZn crystal (GGA-PBEsol, Alexandria). Values from VASP.

Calculated values
Volume (A^3/atom): 17.2
Uncorrected energy (eV per cell): -12.53
Energy relative to the elements (eV/f.u.): -0.44

Geometry as Quantum ESPRESSO input:
```
&SYSTEM
  ibrav = 0, nat = 2, ntyp = 2
/
ATOMIC_SPECIES
Hf 178.49 Hf.upf
Zn 65.41 Zn.upf
ATOMIC_POSITIONS angstrom
Hf 0.0000 0.0000 0.0000
Zn 1.6261 1.6261 1.6261
CELL_PARAMETERS angstrom
3.2522 0.0000 0.0000
0.0000 3.2522 0.0000
0.0000 0.0000 3.2522
```

=====

No. 2
# LiMgIn

A relaxed LiMgIn crystal (GGA-PBEsol, Alexandria). Values from VASP.

Calculated values
Volume (A^3/atom): 20.3
Offset from the most stable computed form (eV/atom): 0.005
Uncorrected energy (eV per cell): -7.26
Energy relative to the elements (eV/f.u.): -0.60

Geometry as Quantum ESPRESSO input:
```
&SYSTEM
  ibrav = 0, nat = 3, ntyp = 3
/
ATOMIC_SPECIES
Li 6.94 Li.upf
Mg 24.30 Mg.upf
In 114.82 In.upf
ATOMIC_POSITIONS angstrom
Li 0.0000 0.0000 0.0000
Mg 2.3731 1.3701 1.9768
In 0.0000 2.7402 0.7527
CELL_PARAMETERS angstrom
4.7462 0.0000 0.0000
-2.3731 4.1103 0.0000
0.0000 0.0000 3.1169
```

=====

No. 3
# Ca2CuH2

A relaxed Ca2CuH2 crystal (GGA-PBEsol, Alexandria). Values from VASP.

Calculated values
Volume (A^3/atom): 16.4
Uncorrected energy (eV per cell): -16.63

Geometry as Quantum ESPRESSO input:
```
&SYSTEM
  ibrav = 0, nat = 5, ntyp = 3
/
ATOMIC_SPECIES
Ca 40.08 Ca.upf
Cu 63.55 Cu.upf
H 1.01 H.upf
ATOMIC_POSITIONS angstrom
Ca 0.0000 0.0000 1.7826
Ca 0.0000 0.0000 10.5335
Cu 0.0000 0.0000 6.1581
H 1.8251 0.0000 3.0790
H 0.0000 1.8251 3.0790
CELL_PARAMETERS angstrom
-1.8251 1.8251 6.1581
1.8251 -1.8251 6.1581
1.8251 1.8251 -6.1581
```

=====

No. 4
# MgInIO2

A relaxed MgInIO2 crystal (GGA-PBEsol, Alexandria). Values from VASP.

Calculated values
Formation energy (no corrections) (eV per atom): -0.52
Volume (A^3/atom): 20.2
Uncorrected energy (eV per cell): -19.58

Geometry as Quantum ESPRESSO input:
```
&SYSTEM
  ibrav = 0, nat = 5, ntyp = 4
/
ATOMIC_SPECIES
Mg 24.30 Mg.upf
In 114.82 In.upf
I 126.90 I.upf
O 16.00 O.upf
ATOMIC_POSITIONS angstrom
Mg 0.0000 0.0000 0.0000
In 2.0675 2.0675 2.9547
I 2.0675 2.0675 0.0000
O 0.0000 2.0675 2.9547
O 2.0675 0.0000 2.9547
CELL_PARAMETERS angstrom
4.1350 0.0000 0.0000
0.0000 4.1350 0.0000
0.0000 0.0000 5.9093
```

=====

No. 5
# NbInCu2As

A relaxed NbInCu2As crystal (GGA-PBEsol, Alexandria). Values from VASP.

Calculated values
Volume (A^3/atom): 23.2
Uncorrected energy (eV per cell): -20.40
Energy relative to the elements (eV/f.u.): 7.18

Geometry as Quantum ESPRESSO input:
```
&SYSTEM
  ibrav = 0, nat = 5, ntyp = 4
/
ATOMIC_SPECIES
Nb 92.91 Nb.upf
In 114.82 In.upf
Cu 63.55 Cu.upf
As 74.92 As.upf
ATOMIC_POSITIONS angstrom
Nb 0.0000 0.0000 0.0000
In 0.0000 0.0000 2.6447
Cu 0.0000 2.3392 0.0000
Cu 2.3392 0.0000 0.0000
As 2.3392 2.3392 2.6447
CELL_PARAMETERS angstrom
4.6785 0.0000 0.0000
0.0000 4.6785 0.0000
0.0000 0.0000 5.2895
```

=====

No. 6
# TiBiO2

A relaxed TiBiO2 crystal (GGA-PBEsol, Alexandria). Values from VASP.

Calculated values
Formation energy (no corrections) (eV per atom): -1.08
Volume (A^3/atom): 16.1
Uncorrected energy (eV per cell): -27.44

Geometry as Quantum ESPRESSO input:
```
&SYSTEM
  ibrav = 0, nat = 4, ntyp = 3
/
ATOMIC_SPECIES
Ti 47.87 Ti.upf
Bi 208.98 Bi.upf
O 16.00 O.upf
ATOMIC_POSITIONS angstrom
Ti 0.0000 0.0000 0.0000
Bi 0.0000 0.0000 10.6340
O 0.0000 0.0000 1.8392
O 0.0000 0.0000 19.4288
CELL_PARAMETERS angstrom
1.6172 0.9337 7.0893
-1.6172 0.9337 7.0893
0.0000 -1.8674 7.0893
```

=====

No. 7
# NbCrO4

A relaxed NbCrO4 crystal (GGA-PBEsol, Alexandria). Values from VASP.

Calculated values
Formation energy (no corrections) (eV per atom): -2.28
Volume (A^3/atom): 10.8
Uncorrected energy (eV per cell): -111.44

Geometry as Quantum ESPRESSO input:
```
&SYSTEM
  ibrav = 0, nat = 12, ntyp = 3
/
ATOMIC_SPECIES
Nb 92.91 Nb.upf
Cr 52.00 Cr.upf
O 16.00 O.upf
ATOMIC_POSITIONS angstrom
Nb 0.0000 0.0000 0.0000
Nb 0.0000 3.2989 1.4922
Cr 3.2989 0.0000 1.4164
Cr 0.0000 0.0000 2.9085
O 3.2989 1.3435 -0.0986
O 1.9554 3.2989 -1.5908
O 1.3435 0.0000 1.3936
O 3.2989 -1.2827 2.8596
O 3.2989 1.2827 2.8596
O 2.0162 3.2989 1.3674
O 1.2827 0.0000 4.3518
O 0.0000 1.9554 2.8858
CELL_PARAMETERS angstrom
-3.2989 3.2989 2.9844
3.2989 -3.2989 2.9844
3.2989 3.2989 -2.9844
```

=====

No. 8
# NaBe2SeBr

A relaxed NaBe2SeBr crystal (GGA-PBEsol, Alexandria). Values from VASP.

Calculated values
Formation energy (no corrections) (eV per atom): 1.34
Volume (A^3/atom): 25.5
Uncorrected energy (eV per cell): -8.42

Geometry as Quantum ESPRESSO input:
```
&SYSTEM
  ibrav = 0, nat = 5, ntyp = 4
/
ATOMIC_SPECIES
Na 22.99 Na.upf
Be 9.01 Be.upf
Se 78.96 Se.upf
Br 79.90 Br.upf
ATOMIC_POSITIONS angstrom
Na 0.0000 0.0000 0.0000
Be 0.0000 2.5927 0.0000
Be 2.5927 0.0000 0.0000
Se 2.5927 2.5927 2.3690
Br 0.0000 0.0000 2.3690
CELL_PARAMETERS angstrom
5.1855 0.0000 0.0000
0.0000 5.1855 0.0000
0.0000 0.0000 4.7380
```

=====

No. 9
# BaNd2PtO5

A relaxed BaNd2PtO5 crystal (GGA-PBEsol, Alexandria). Values from VASP.

Calculated values
Formation energy (no corrections) (eV per atom): -2.64
Volume (A^3/atom): 14.9
Uncorrected energy (eV per cell): -138.97

Geometry as Quantum ESPRESSO input:
```
&SYSTEM
  ibrav = 0, nat = 18, ntyp = 4
/
ATOMIC_SPECIES
Ba 137.33 Ba.upf
Nd 144.24 Nd.upf
Pt 195.08 Pt.upf
O 16.00 O.upf
ATOMIC_POSITIONS angstrom
Ba 0.0000 0.0000 0.0000
Ba 3.3671 3.3671 0.0000
Nd 1.1682 2.1989 2.9473
Nd 2.1989 5.5660 2.9473
Nd 4.5353 1.1682 2.9473
Nd 5.5660 4.5353 2.9473
Pt 0.0000 3.3671 0.0000
Pt 3.3671 0.0000 0.0000
O 0.0000 0.0000 2.9473
O 0.9423 4.3094 1.4903
O 0.9423 4.3094 4.4044
O 2.4248 0.9423 1.4903
O 2.4248 0.9423 4.4044
O 3.3671 3.3671 2.9473
O 4.3094 5.7919 1.4903
O 4.3094 5.7919 4.4044
O 5.7919 2.4248 1.4903
O 5.7919 2.4248 4.4044
CELL_PARAMETERS angstrom
6.7342 0.0000 0.0000
0.0000 6.7342 0.0000
0.0000 0.0000 5.8947
```

=====

No. 10
# Si2SnOsRh

A relaxed Si2SnOsRh crystal (GGA-PBEsol, Alexandria). Values from VASP.

Calculated values
Formation energy (no corrections) (eV per atom): 0.73
Volume (A^3/atom): 20.5
Uncorrected energy (eV per cell): -32.44

Geometry as Quantum ESPRESSO input:
```
&SYSTEM
  ibrav = 0, nat = 5, ntyp = 4
/
ATOMIC_SPECIES
Si 28.09 Si.upf
Sn 118.71 Sn.upf
Os 190.23 Os.upf
Rh 102.91 Rh.upf
ATOMIC_POSITIONS angstrom
Si 0.0000 2.2325 0.0000
Si 2.2325 0.0000 0.0000
Sn 0.0000 0.0000 2.5700
Os 0.0000 0.0000 0.0000
Rh 2.2325 2.2325 2.5700
CELL_PARAMETERS angstrom
4.4651 0.0000 0.0000
0.0000 4.4651 0.0000
0.0000 0.0000 5.1400
```